Compound: ErTmZn4
Source: the Alexandria database
Functional: PBE-GGA
Structure: relaxed

```
ErTmZn4
1.0
5.418 0.000 0.000
2.709 4.692 0.000
2.709 1.564 4.424
Tm Zn Er
1 4 1
Direct
0.250 0.250 0.250
0.625 0.125 0.625
0.625 0.625 0.125
0.125 0.625 0.625
0.625 0.625 0.625
0.000 0.000 0.000
```

Properties
SG = No. 216
Magnetization = 0.00 μB/cell
ΔH_f (0 K) = -0.33 eV per atom
Energy above the lowest structure with this stoichiometry = 0.047 eV per atom
Total energy = -16.1 eV per cell


Compound: Er3TmZn2
Source: the Alexandria database
Functional: PBE-GGA
Structure: relaxed

```
Er3TmZn2
1.0
4.964 0.000 0.000
0.000 6.695 0.000
0.000 0.000 8.965
Zn Er Tm
4 6 2
Direct
0.000 0.773 0.351
0.500 0.227 0.149
0.500 0.727 0.851
0.000 0.273 0.649
0.000 0.332 0.326
0.500 0.668 0.176
0.000 0.983 0.055
0.500 0.168 0.824
0.000 0.483 0.945
0.000 0.832 0.674
0.500 0.517 0.555
0.500 0.017 0.445
```

Properties
SG = No. 26
Magnetization = 0.00 μB/cell
ΔH_f (0 K) = -0.24 eV per atom
Energy above the lowest structure with this stoichiometry = 0.000 eV per atom
Total energy = -44.3 eV per cell


Compound: Er2Tm2Zn
Source: the Alexandria database
Functional: PBE-GGA
Structure: relaxed

```
Er2Tm2Zn
1.0
3.455 0.000 -0.554
-0.089 3.454 -0.554
0.045 0.046 11.325
Er Zn Tm
2 1 2
Direct
0.195 0.195 0.390
0.805 0.805 0.610
0.000 0.000 0.000
0.420 0.420 0.840
0.580 0.580 0.160
```

Properties
SG = No. 139
Magnetization = 0.00 μB/cell
ΔH_f (0 K) = -0.12 eV per atom
Energy above the lowest structure with this stoichiometry = 0.000 eV per atom
Total energy = -20.0 eV per cell


Compound: ErTm6Zn
Source: the Alexandria database
Functional: PBE-GGA
Structure: relaxed

```
ErTm6Zn
1.0
-1.470 8.948 -0.842
-2.463 4.821 6.267
2.260 5.227 2.335
Tm Er Zn
6 1 1
Direct
0.425 0.763 0.856
0.044 0.426 0.767
0.956 0.574 0.233
0.237 0.044 0.294
0.763 0.956 0.706
0.575 0.237 0.144
0.500 0.500 0.500
0.000 0.000 0.000
```

Properties
SG = No. 148
Magnetization = 0.00 μB/cell
ΔH_f (0 K) = 0.05 eV per atom
Total energy = -32.2 eV per cell


Compound: Er3Tm2Zn2
Source: the Alexandria database
Functional: PBE-GGA
Structure: relaxed

```
Er3Tm2Zn2
1.0
3.466 0.000 0.460
0.000 3.467 0.000
-0.258 0.000 15.233
Zn Er Tm
2 3 2
Direct
0.442 0.500 0.116
0.558 0.500 0.884
0.119 0.000 0.762
0.881 0.000 0.238
0.000 0.000 0.000
0.299 0.500 0.402
0.701 0.500 0.598
```

Properties
SG = No. 65
Magnetization = 0.00 μB/cell
ΔH_f (0 K) = -0.12 eV per atom
Energy above the lowest structure with this stoichiometry = 0.046 eV per atom
Total energy = -26.0 eV per cell


Compound: Er2TmZn3
Source: the Alexandria database
Functional: PBE-GGA
Structure: relaxed

```
Er2TmZn3
1.0
-2.680 1.553 -3.915
-0.295 -4.752 1.499
-9.246 2.938 7.495
Zn Er Tm
6 4 2
Direct
0.000 0.000 0.250
0.667 0.333 0.083
0.333 0.667 0.917
0.000 0.000 0.750
0.333 0.667 0.417
0.667 0.333 0.583
0.667 0.333 0.833
0.333 0.667 0.167
0.000 0.000 0.500
0.000 0.000 0.000
0.667 0.333 0.333
0.333 0.667 0.667
```

Properties
SG = No. 164
Magnetization = 0.00 μB/cell
ΔH_f (0 K) = -0.35 eV per atom
Total energy = -39.1 eV per cell